# BaLiHfAu

A geometry-optimized BaLiHfAu structure (PBE-GGA, OQMD via LeMat-Bulk).

Cell and atoms, written as POSCAR:
```
BaLiHfAu
1.0
0.000 3.647 3.647
3.647 0.000 3.647
3.647 3.647 0.000
Ba Li Hf Au
1 1 1 1
Direct
0.000 0.000 0.000
0.500 0.500 0.500
0.750 0.750 0.750
0.250 0.250 0.250
```

The energy above the most stable polymorph in this dataset comes out at 0.286 eV/atom. The calculation puts the raw total energy at -15.21 eV/cell. The calculation puts the theoretical density at 8.90 g cm⁻³. As for the magnetization: 0.00 μB per atom.